Record 1
## ZnHgAs2 (PBE-GGA)

Data for an optimized crystal structure of ZnHgAs2.

Geometry as CIF:
```
data_ZnHgAs2
_chemical_formula_sum 'Zn2 Hg2 As4'
_cell_length_a 5.403
_cell_length_b 10.118
_cell_length_c 3.030
_cell_angle_alpha 90.00
_cell_angle_beta 90.00
_cell_angle_gamma 90.00
_symmetry_space_group_name_H-M 'C m m m'
_symmetry_Int_Tables_number 65
_symmetry_space_group_name_Hall '-C 2 2'
loop_
_atom_site_label
_atom_site_fract_x
_atom_site_fract_y
_atom_site_fract_z
_atom_site_occupancy
Zn1 0.000 0.000 0.000 1
Hg1 0.000 0.500 0.000 1
As1 0.250 0.250 0.500 1
```

Summary:
Calculated volume: 166 Å³ per cell
DFT formation energy: 0.338 eV/atom

=====

Record 2
## ZrAlHg (PBE-GGA)

Data for an optimized crystal structure of ZrAlHg.

Geometry as CIF:
```
data_ZrAlHg
_chemical_formula_sum 'Zr1 Al1 Hg1'
_cell_length_a 3.1380
_cell_length_b 3.1380
_cell_length_c 7.3231
_cell_angle_alpha 90.00
_cell_angle_beta 90.00
_cell_angle_gamma 120.00
_symmetry_space_group_name_H-M 'P 3 m 1'
_symmetry_Int_Tables_number 156
loop_
_symmetry_equiv_pos_as_xyz
'x,y,z'
'-y,x-y,z'
'-x+y,-x,z'
'-y,-x,z'
'-x+y,y,z'
'x,x-y,z'
loop_
_atom_site_label
_atom_site_fract_x
_atom_site_fract_y
_atom_site_fract_z
_atom_site_occupancy
Zr1 0.0000 0.0000 0.0000 1
Al1 0.6667 0.3333 0.3254 1
Hg1 0.3333 0.6667 0.6514 1
```

Summary:
Calculated volume: 62 Å³ per cell
DFT formation energy: -0.034 eV/atom

=====

Record 3
## Al2IrBr (PBE-GGA)

Data for an optimized crystal structure of Al2IrBr.

Geometry as CIF:
```
data_Al2IrBr
_chemical_formula_sum 'Al8 Ir4 Br4'
_cell_length_a 6.502
_cell_length_b 6.502
_cell_length_c 6.502
_cell_angle_alpha 90.00
_cell_angle_beta 90.00
_cell_angle_gamma 90.00
_symmetry_space_group_name_H-M 'F m -3 m'
_symmetry_Int_Tables_number 225
_symmetry_space_group_name_Hall '-F 4 2 3'
loop_
_atom_site_label
_atom_site_fract_x
_atom_site_fract_y
_atom_site_fract_z
_atom_site_occupancy
Al1 0.250 0.250 0.250 1
Ir1 0.000 0.000 0.000 1
Br1 0.000 0.000 0.500 1
```

Summary:
Calculated volume: 275 Å³ per cell

=====

Record 4
## YSbW2 (PBE-GGA)

Data for an optimized crystal structure of YSbW2.

Geometry as CIF:
```
data_YSbW2
_chemical_formula_sum 'Y1 Sb1 W2'
_cell_length_a 3.365
_cell_length_b 4.583
_cell_length_c 5.466
_cell_angle_alpha 90.00
_cell_angle_beta 102.40
_cell_angle_gamma 90.00
_symmetry_space_group_name_H-M 'P 1 m 1'
_symmetry_Int_Tables_number 6
loop_
_symmetry_equiv_pos_as_xyz
'x,y,z'
'x,-y,z'
loop_
_atom_site_label
_atom_site_fract_x
_atom_site_fract_y
_atom_site_fract_z
_atom_site_occupancy
Y1 0.000 0.000 0.000 1
Sb1 0.580 0.500 0.203 1
W1 0.251 0.500 0.633 1
W2 0.573 0.000 0.512 1
```

Summary:
Calculated volume: 82 Å³ per cell

=====

Record 5
## Sc3TlIn (PBE-GGA)

Data for an optimized crystal structure of Sc3TlIn.

Geometry as CIF:
```
data_Sc3TlIn
_chemical_formula_sum 'Sc24 Tl8 In8'
_cell_length_a 12.677
_cell_length_b 9.398
_cell_length_c 10.077
_cell_angle_alpha 90.00
_cell_angle_beta 127.04
_cell_angle_gamma 90.00
_symmetry_space_group_name_H-M 'C 1 2/c 1'
_symmetry_Int_Tables_number 15
loop_
_symmetry_equiv_pos_as_xyz
'x,y,z'
'-x,-y,-z'
'-x,y,-z+1/2'
'x,-y,z+1/2'
'x+1/2,y+1/2,z'
'-x+1/2,-y+1/2,-z'
'-x+1/2,y+1/2,-z+1/2'
'x+1/2,-y+1/2,z+1/2'
loop_
_atom_site_label
_atom_site_fract_x
_atom_site_fract_y
_atom_site_fract_z
_atom_site_occupancy
Sc1 0.087 0.154 0.051 1
Sc2 0.185 0.484 0.080 1
Sc3 0.207 0.166 0.582 1
Tl1 0.131 0.324 0.780 1
In1 0.000 0.020 0.250 1
In2 0.000 0.345 0.250 1
```

Summary:
Calculated volume: 958 Å³ per cell
DFT formation energy: -0.177 eV/atom

=====

Record 6
## SrRu2W (PBE-GGA)

Data for an optimized crystal structure of SrRu2W.

Geometry as CIF:
```
data_SrRu2W
_chemical_formula_sum 'Sr2 Ru4 W2'
_cell_length_a 2.991
_cell_length_b 4.869
_cell_length_c 10.236
_cell_angle_alpha 90.00
_cell_angle_beta 90.00
_cell_angle_gamma 90.00
_symmetry_space_group_name_H-M 'I m m 2'
_symmetry_Int_Tables_number 44
loop_
_symmetry_equiv_pos_as_xyz
'x,y,z'
'-x,-y,z'
'-x,y,z'
'x,-y,z'
'x+1/2,y+1/2,z+1/2'
'-x+1/2,-y+1/2,z+1/2'
'-x+1/2,y+1/2,z+1/2'
'x+1/2,-y+1/2,z+1/2'
loop_
_atom_site_label
_atom_site_fract_x
_atom_site_fract_y
_atom_site_fract_z
_atom_site_occupancy
Sr1 0.000 0.000 0.000 1
Ru1 0.000 0.000 0.488 1
Ru2 0.000 0.500 0.215 1
W1 0.000 0.500 0.789 1
```

Summary:
Calculated volume: 149 Å³ per cell
DFT formation energy: 0.738 eV/atom

=====

Record 7
## Pu4Ga16Ir3 (PBE-GGA)

Data for an optimized crystal structure of Pu4Ga16Ir3.

Geometry as CIF:
```
data_Pu4Ga16Ir3
_chemical_formula_sum 'Pu4 Ga16 Ir3'
_cell_length_a 6.162
_cell_length_b 6.162
_cell_length_c 11.214
_cell_angle_alpha 90.00
_cell_angle_beta 90.00
_cell_angle_gamma 90.00
_symmetry_space_group_name_H-M 'P 4/m m m'
_symmetry_Int_Tables_number 123
_symmetry_space_group_name_Hall '-P 4 2'
loop_
_atom_site_label
_atom_site_fract_x
_atom_site_fract_y
_atom_site_fract_z
_atom_site_occupancy
Pu1 0.000 0.500 0.190 1
Ga1 0.000 0.000 0.202 1
Ga2 0.213 0.213 0.000 1
Ga3 0.249 0.249 0.378 1
Ga4 0.500 0.500 0.224 1
Ir1 0.000 0.500 0.500 1
Ir2 0.500 0.500 0.000 1
```

Summary:
Calculated volume: 426 Å³ per cell
DFT formation energy: -0.502 eV/atom

=====

Record 8
## LaNiAs2Ir (PBE-GGA)

Data for an optimized crystal structure of LaNiAs2Ir.

Geometry as CIF:
```
data_LaNiAs2Ir
_chemical_formula_sum 'La1 Ni1 As2 Ir1'
_cell_length_a 4.870
_cell_length_b 4.870
_cell_length_c 4.633
_cell_angle_alpha 90.00
_cell_angle_beta 90.00
_cell_angle_gamma 90.00
_symmetry_space_group_name_H-M 'P 4/m m m'
_symmetry_Int_Tables_number 123
_symmetry_space_group_name_Hall '-P 4 2'
loop_
_atom_site_label
_atom_site_fract_x
_atom_site_fract_y
_atom_site_fract_z
_atom_site_occupancy
La1 0.000 0.000 0.000 1
Ni1 0.500 0.500 0.000 1
As1 0.000 0.500 0.500 1
Ir1 0.500 0.500 0.500 1
```

Summary:
Calculated volume: 110 Å³ per cell
DFT formation energy: -0.124 eV/atom

=====

Record 9
## Ca2TlSb2 (PBE-GGA)

Data for an optimized crystal structure of Ca2TlSb2.

Geometry as CIF:
```
data_Ca2TlSb2
_chemical_formula_sum 'Ca4 Tl2 Sb4'
_cell_length_a 5.455
_cell_length_b 5.455
_cell_length_c 11.952
_cell_angle_alpha 90.00
_cell_angle_beta 90.00
_cell_angle_gamma 90.00
_symmetry_space_group_name_H-M 'I 4/m m m'
_symmetry_Int_Tables_number 139
_symmetry_space_group_name_Hall '-I 4 2'
loop_
_atom_site_label
_atom_site_fract_x
_atom_site_fract_y
_atom_site_fract_z
_atom_site_occupancy
Ca1 0.000 0.500 0.250 1
Tl1 0.000 0.000 0.000 1
Sb1 0.000 0.000 0.378 1
```

Summary:
Calculated volume: 356 Å³ per cell

=====

Record 10
## K2La2Pb (PBE-GGA)

Data for an optimized crystal structure of K2La2Pb.

Geometry as CIF:
```
data_K2La2Pb
_chemical_formula_sum 'K4 La4 Pb2'
_cell_length_a 4.563
_cell_length_b 4.563
_cell_length_c 20.613
_cell_angle_alpha 90.00
_cell_angle_beta 90.00
_cell_angle_gamma 90.00
_symmetry_space_group_name_H-M 'I 4/m m m'
_symmetry_Int_Tables_number 139
_symmetry_space_group_name_Hall '-I 4 2'
loop_
_atom_site_label
_atom_site_fract_x
_atom_site_fract_y
_atom_site_fract_z
_atom_site_occupancy
K1 0.000 0.500 0.250 1
La1 0.000 0.000 0.073 1
Pb1 0.000 0.000 0.500 1
```

Summary:
Calculated volume: 429 Å³ per cell
DFT formation energy: 0.232 eV/atom

=====

Record 11
## FePt6Rh2 (PBE-GGA)

Data for an optimized crystal structure of FePt6Rh2.

Geometry as CIF:
```
data_FePt6Rh2
_chemical_formula_sum 'Fe2 Pt12 Rh4'
_cell_length_a 8.304
_cell_length_b 8.304
_cell_length_c 3.918
_cell_angle_alpha 90.00
_cell_angle_beta 90.00
_cell_angle_gamma 90.00
_symmetry_space_group_name_H-M 'P 42/m n m'
_symmetry_Int_Tables_number 136
_symmetry_space_group_name_Hall '-P 4n 2n'
loop_
_atom_site_label
_atom_site_fract_x
_atom_site_fract_y
_atom_site_fract_z
_atom_site_occupancy
Fe1 0.000 0.000 0.000 1
Pt1 0.001 0.327 0.000 1
Pt2 0.161 0.161 0.500 1
Rh1 0.163 0.837 0.500 1
```

Summary:
Calculated volume: 270 Å³ per cell
DFT formation energy: -0.127 eV/atom

=====

Record 12
## Al3ZnGe (PBE-GGA)

Data for an optimized crystal structure of Al3ZnGe.

Geometry as CIF:
```
data_Al3ZnGe
_chemical_formula_sum 'Al3 Zn1 Ge1'
_cell_length_a 4.712
_cell_length_b 4.712
_cell_length_c 4.712
_cell_angle_alpha 90.00
_cell_angle_beta 90.00
_cell_angle_gamma 90.00
_symmetry_space_group_name_H-M 'P m -3 m'
_symmetry_Int_Tables_number 221
_symmetry_space_group_name_Hall '-P 4 2 3'
loop_
_atom_site_label
_atom_site_fract_x
_atom_site_fract_y
_atom_site_fract_z
_atom_site_occupancy
Al1 0.000 0.000 0.500 1
Zn1 0.000 0.000 0.000 1
Ge1 0.500 0.500 0.500 1
```

Summary:
Calculated volume: 105 Å³ per cell
DFT formation energy: 0.588 eV/atom

=====

no.,electronic total energy (eV per atom),magnetization (μB/cell)
1,-2.38,0.000
2,-4.23,0.000
3,-4.14,0.000
4,-8.82,0.000
5,-5.00,0.000
6,-7.56,0.000
7,-6.26,20.792
8,-5.90,0.842
9,-3.42,0.000
10,-2.92,0.004
11,-6.73,10.192
12,-2.84,0.000